(1)
# CePm8Nd6 (GGA-PBE, relaxed)
# Magnetic moment ... 1.2 Bohr magnetons per cell
# DOS at the Fermi energy ... 26.4 states/eV per cell
# Space-group type ... R-3
# Energy of formation ... 11.4 kJ per mole of atoms
# Raw total energy ... -4.72 eV per atom
# Volume ... 34.86 Å³/atom
data_CePm8Nd6
_symmetry_space_group_name_H-M 'P 1'
_symmetry_Int_Tables_number 1
_symmetry_space_group_name_Hall 'P 1'
_cell_length_a 8.825
_cell_length_b 8.825
_cell_length_c 8.825
_cell_angle_alpha 63.43
_cell_angle_beta 63.43
_cell_angle_gamma 63.43
loop_
_atom_site_label
_atom_site_type_symbol
_atom_site_fract_x
_atom_site_fract_y
_atom_site_fract_z
_atom_site_occupancy
Ce1 Ce 0.000 0.000 0.000 1
Pm1 Pm 0.285 0.886 0.246 1
Pm2 Pm 0.886 0.246 0.285 1
Pm3 Pm 0.246 0.285 0.886 1
Pm4 Pm 0.715 0.114 0.754 1
Pm5 Pm 0.114 0.754 0.715 1
Pm6 Pm 0.754 0.715 0.114 1
Pm7 Pm 0.577 0.577 0.577 1
Pm8 Pm 0.423 0.423 0.423 1
Nd1 Nd 0.101 0.235 0.540 1
Nd2 Nd 0.235 0.540 0.101 1
Nd3 Nd 0.540 0.101 0.235 1
Nd4 Nd 0.899 0.765 0.460 1
Nd5 Nd 0.765 0.460 0.899 1
Nd6 Nd 0.460 0.899 0.765 1

---

(2)
# BaRe2TcRu (GGA-PBE, relaxed)
# Magnetic moment ... 0.0 Bohr magnetons per cell
# DOS at the Fermi energy ... 8.3 states/eV per cell
# Space-group type ... P4/mmm
# Energy of formation ... 381.0 kJ per mole of atoms
# Raw total energy ... -5.34 eV per atom
# Volume ... 22.76 Å³/atom
data_BaRe2TcRu
_symmetry_space_group_name_H-M 'P 1'
_symmetry_Int_Tables_number 1
_symmetry_space_group_name_Hall 'P 1'
_cell_length_a 4.876
_cell_length_b 4.786
_cell_length_c 4.876
_cell_angle_alpha 90.00
_cell_angle_beta 90.00
_cell_angle_gamma 90.00
loop_
_atom_site_label
_atom_site_type_symbol
_atom_site_fract_x
_atom_site_fract_y
_atom_site_fract_z
_atom_site_occupancy
Tc1 Tc 0.000 0.500 0.000 1
Re1 Re 0.000 0.000 0.500 1
Re2 Re 0.500 0.000 0.000 1
Ba1 Ba 0.000 0.000 0.000 1
Ru1 Ru 0.500 0.500 0.500 1

---

(3)
# Sc6Bi2O (GGA-PBE, relaxed)
# Magnetic moment ... 3.2 Bohr magnetons per cell
# DOS at the Fermi energy ... 25.3 states/eV per cell
# Space-group type ... I4/mmm
# Raw total energy ... -6.51 eV per atom
# ΔE_f (raw) ... -0.88 eV/atom
# Volume ... 20.90 Å³/atom
data_Sc6Bi2O
_symmetry_space_group_name_H-M 'P 1'
_symmetry_Int_Tables_number 1
_symmetry_space_group_name_Hall 'P 1'
_cell_length_a 6.463
_cell_length_b 6.463
_cell_length_c 9.006
_cell_angle_alpha 90.00
_cell_angle_beta 90.01
_cell_angle_gamma 90.00
loop_
_atom_site_label
_atom_site_type_symbol
_atom_site_fract_x
_atom_site_fract_y
_atom_site_fract_z
_atom_site_occupancy
Sc1 Sc 0.000 0.000 0.248 1
Sc2 Sc 0.752 0.751 0.500 1
Sc3 Sc 0.749 0.748 0.000 1
Sc4 Sc 0.751 0.248 0.500 1
Sc5 Sc 0.748 0.251 0.000 1
Sc6 Sc 0.500 0.500 0.252 1
Sc7 Sc 0.000 0.000 0.752 1
Sc8 Sc 0.248 0.249 0.500 1
Sc9 Sc 0.251 0.252 0.000 1
Sc10 Sc 0.249 0.752 0.500 1
Sc11 Sc 0.252 0.749 0.000 1
Sc12 Sc 0.500 0.500 0.748 1
Bi1 Bi 0.000 0.500 0.750 1
Bi2 Bi 0.500 0.000 0.750 1
Bi3 Bi 0.500 0.000 0.250 1
Bi4 Bi 0.000 0.500 0.250 1
O1 O 0.500 0.500 0.000 1
O2 O 0.000 0.000 0.500 1

---

(4)
# MnCd2Ir2 (GGA-PBE, relaxed)
# Magnetic moment ... 4.6 Bohr magnetons per cell
# DOS at the Fermi energy ... 5.7 states/eV per cell
# Energy relative to the lowest polymorph listed for this composition ... 0.469 eV per atom
# Space-group type ... I4/mmm
# Energy of formation ... 57.4 kJ per mole of atoms
# Raw total energy ... -5.15 eV per atom
# Volume ... 19.22 Å³/atom
data_MnCd2Ir2
_symmetry_space_group_name_H-M 'P 1'
_symmetry_Int_Tables_number 1
_symmetry_space_group_name_Hall 'P 1'
_cell_length_a 3.661
_cell_length_b 3.661
_cell_length_c 7.624
_cell_angle_alpha 76.11
_cell_angle_beta 76.11
_cell_angle_gamma 90.00
loop_
_atom_site_label
_atom_site_type_symbol
_atom_site_fract_x
_atom_site_fract_y
_atom_site_fract_z
_atom_site_occupancy
Ir1 Ir 0.750 0.250 0.500 1
Ir2 Ir 0.250 0.750 0.500 1
Mn1 Mn 0.000 0.000 0.000 1
Cd1 Cd 0.401 0.401 0.198 1
Cd2 Cd 0.599 0.599 0.802 1

---

(5)
# In4Hg6Pb (GGA-PBE, relaxed)
# Magnetic moment ... 0.0 Bohr magnetons per cell
# DOS at the Fermi energy ... 3.7 states/eV per cell
# Energy relative to the lowest polymorph listed for this composition ... 0.000 eV per atom
# Space-group type ... P1
# Energy of formation ... 1.8 kJ per mole of atoms
# Raw total energy ... -1.48 eV per atom
# Volume ... 27.17 Å³/atom
data_In4Hg6Pb
_symmetry_space_group_name_H-M 'P 1'
_symmetry_Int_Tables_number 1
_symmetry_space_group_name_Hall 'P 1'
_cell_length_a 11.028
_cell_length_b 10.383
_cell_length_c 5.771
_cell_angle_alpha 56.76
_cell_angle_beta 109.18
_cell_angle_gamma 145.87
loop_
_atom_site_label
_atom_site_type_symbol
_atom_site_fract_x
_atom_site_fract_y
_atom_site_fract_z
_atom_site_occupancy
In1 In 0.861 0.004 0.490 1
In2 In 0.769 0.096 0.850 1
In3 In 0.057 0.822 0.779 1
In4 In 0.509 0.367 0.961 1
Hg1 Hg 0.588 0.266 0.601 1
Hg2 Hg 0.684 0.186 0.224 1
Hg3 Hg 0.326 0.555 0.674 1
Hg4 Hg 0.394 0.439 0.324 1
Hg5 Hg 0.138 0.725 0.415 1
Hg6 Hg 0.229 0.634 0.047 1
Pb1 Pb 0.945 0.904 0.136 1

---

(6)
# Nd3Th2Se6 (GGA-PBE, relaxed)
# Magnetic moment ... 0.0 Bohr magnetons per cell
# DOS at the Fermi energy ... 5.5 states/eV per cell
# Space-group type ... C2/m
# Raw total energy ... -6.33 eV per atom
# ΔE_f (raw) ... -1.78 eV/atom
# Volume ... 28.40 Å³/atom
data_Nd3Th2Se6
_symmetry_space_group_name_H-M 'P 1'
_symmetry_Int_Tables_number 1
_symmetry_space_group_name_Hall 'P 1'
_cell_length_a 7.239
_cell_length_b 7.265
_cell_length_c 7.271
_cell_angle_alpha 80.38
_cell_angle_beta 70.41
_cell_angle_gamma 60.11
loop_
_atom_site_label
_atom_site_type_symbol
_atom_site_fract_x
_atom_site_fract_y
_atom_site_fract_z
_atom_site_occupancy
Nd1 Nd 0.000 0.000 0.000 1
Nd2 Nd 0.336 0.329 0.000 1
Nd3 Nd 0.664 0.671 0.000 1
Th1 Th 0.165 0.669 0.500 1
Th2 Th 0.835 0.331 0.500 1
Se1 Se 0.419 0.673 0.744 1
Se2 Se 0.744 0.000 0.739 1
Se3 Se 0.092 0.327 0.744 1
Se4 Se 0.256 0.000 0.261 1
Se5 Se 0.581 0.327 0.256 1
Se6 Se 0.908 0.673 0.256 1

---

(7)
# La8Tb3Nd3 (GGA-PBE, relaxed)
# Magnetic moment ... 0.0 Bohr magnetons per cell
# DOS at the Fermi energy ... 17.7 states/eV per cell
# Space-group type ... Immm
# Energy of formation ... 9.4 kJ per mole of atoms
# Raw total energy ... -4.73 eV per atom
# Volume ... 35.33 Å³/atom
data_La8Tb3Nd3
_symmetry_space_group_name_H-M 'P 1'
_symmetry_Int_Tables_number 1
_symmetry_space_group_name_Hall 'P 1'
_cell_length_a 5.760
_cell_length_b 9.949
_cell_length_c 9.949
_cell_angle_alpha 102.16
_cell_angle_beta 73.17
_cell_angle_gamma 73.17
loop_
_atom_site_label
_atom_site_type_symbol
_atom_site_fract_x
_atom_site_fract_y
_atom_site_fract_z
_atom_site_occupancy
La1 La 0.656 0.113 0.574 1
La2 La 0.344 0.887 0.426 1
La3 La 0.656 0.574 0.113 1
La4 La 0.344 0.426 0.887 1
La5 La 0.838 0.769 0.555 1
La6 La 0.162 0.231 0.445 1
La7 La 0.838 0.555 0.769 1
La8 La 0.162 0.445 0.231 1
Tb1 Tb 0.500 0.000 0.000 1
Tb2 Tb 0.000 0.822 0.178 1
Tb3 Tb 0.000 0.178 0.822 1
Nd1 Nd 0.500 0.500 0.500 1
Nd2 Nd 0.804 0.196 0.196 1
Nd3 Nd 0.196 0.804 0.804 1

---

(8)
# Cs3Tm2TiTe6 (GGA-PBE, relaxed)
# Magnetic moment ... 1.0 Bohr magnetons per cell
# DOS at the Fermi energy ... 5.4 states/eV per cell
# Space-group type ... C2/m
# Raw total energy ... -4.34 eV per atom
# ΔE_f (raw) ... -1.15 eV/atom
# Volume ... 37.57 Å³/atom
data_Cs3Tm2TiTe6
_symmetry_space_group_name_H-M 'P 1'
_symmetry_Int_Tables_number 1
_symmetry_space_group_name_Hall 'P 1'
_cell_length_a 7.665
_cell_length_b 7.665
_cell_length_c 9.221
_cell_angle_alpha 97.98
_cell_angle_beta 97.98
_cell_angle_gamma 119.98
loop_
_atom_site_label
_atom_site_type_symbol
_atom_site_fract_x
_atom_site_fract_y
_atom_site_fract_z
_atom_site_occupancy
Cs1 Cs 0.172 0.828 0.500 1
Cs2 Cs 0.828 0.172 0.500 1
Cs3 Cs 0.500 0.500 0.500 1
Tm1 Tm 0.334 0.666 0.000 1
Tm2 Tm 0.666 0.334 0.000 1
Ti1 Ti 0.000 0.000 0.000 1
Te1 Te 0.939 0.622 0.818 1
Te2 Te 0.744 0.744 0.184 1
Te3 Te 0.061 0.378 0.182 1
Te4 Te 0.622 0.939 0.818 1
Te5 Te 0.256 0.256 0.816 1
Te6 Te 0.378 0.061 0.182 1

---

(9)
# NaHo2Pt (GGA-PBE, relaxed)
# Magnetic moment ... 0.0 Bohr magnetons per cell
# DOS at the Fermi energy ... 1.9 states/eV per cell
# Space-group type ... R-3m
# Energy of formation ... -44.6 kJ per mole of atoms
# Raw total energy ... -4.59 eV per atom
# Volume ... 37.01 Å³/atom
data_NaHo2Pt
_symmetry_space_group_name_H-M 'P 1'
_symmetry_Int_Tables_number 1
_symmetry_space_group_name_Hall 'P 1'
_cell_length_a 4.068
_cell_length_b 4.068
_cell_length_c 10.593
_cell_angle_alpha 78.93
_cell_angle_beta 78.93
_cell_angle_gamma 60.00
loop_
_atom_site_label
_atom_site_type_symbol
_atom_site_fract_x
_atom_site_fract_y
_atom_site_fract_z
_atom_site_occupancy
Na1 Na 0.000 0.000 0.000 1
Ho1 Ho 0.120 0.120 0.641 1
Ho2 Ho 0.880 0.880 0.359 1
Pt1 Pt 0.500 0.500 0.500 1

---

(10)
# Cs2AsI2F4 (GGA-PBE, relaxed)
# Magnetic moment ... 0.0 Bohr magnetons per cell
# DOS at the Fermi energy ... 2.6 states/eV per cell
# Space-group type ... I4/mmm
# Raw total energy ... -3.75 eV per atom
# ΔE_f (raw) ... -1.87 eV/atom
# Volume ... 28.80 Å³/atom
data_Cs2AsI2F4
_symmetry_space_group_name_H-M 'P 1'
_symmetry_Int_Tables_number 1
_symmetry_space_group_name_Hall 'P 1'
_cell_length_a 6.991
_cell_length_b 6.991
_cell_length_c 6.991
_cell_angle_alpha 101.42
_cell_angle_beta 113.64
_cell_angle_gamma 113.64
loop_
_atom_site_label
_atom_site_type_symbol
_atom_site_fract_x
_atom_site_fract_y
_atom_site_fract_z
_atom_site_occupancy
Cs1 Cs 0.500 0.750 0.250 1
Cs2 Cs 0.500 0.250 0.750 1
As1 As 0.000 0.000 0.000 1
I1 I 0.000 0.683 0.683 1
I2 I 0.000 0.317 0.317 1
F1 F 0.000 0.819 0.181 1
F2 F 0.638 0.819 0.819 1
F3 F 0.000 0.181 0.819 1
F4 F 0.362 0.181 0.181 1

---

(11)
# Tl2CuSi (GGA-PBE, relaxed)
# Magnetic moment ... 0.0 Bohr magnetons per cell
# DOS at the Fermi energy ... 1.8 states/eV per cell
# Energy relative to the lowest polymorph listed for this composition ... 0.388 eV per atom
# Space-group type ... I-4m2
# Raw total energy ... -3.02 eV per atom
# ΔE_f (raw) ... 0.54 eV/atom
# Volume ... 22.02 Å³/atom
data_Tl2CuSi
_symmetry_space_group_name_H-M 'P 1'
_symmetry_Int_Tables_number 1
_symmetry_space_group_name_Hall 'P 1'
_cell_length_a 5.967
_cell_length_b 5.967
_cell_length_c 5.967
_cell_angle_alpha 139.70
_cell_angle_beta 139.70
_cell_angle_gamma 58.31
loop_
_atom_site_label
_atom_site_type_symbol
_atom_site_fract_x
_atom_site_fract_y
_atom_site_fract_z
_atom_site_occupancy
Cu1 Cu 0.500 0.500 0.000 1
Si1 Si 0.750 0.250 0.500 1
Tl1 Tl 0.000 0.000 0.000 1
Tl2 Tl 0.250 0.750 0.500 1

---

(12)
# NdInSb2O8 (GGA-PBE, relaxed)
# Magnetic moment ... 0.0 Bohr magnetons per cell
# Space-group type ... I-4
# Raw total energy ... -6.41 eV per atom
# ΔE_f (raw) ... -1.80 eV/atom
# Volume ... 13.13 Å³/atom
data_NdInSb2O8
_symmetry_space_group_name_H-M 'P 1'
_symmetry_Int_Tables_number 1
_symmetry_space_group_name_Hall 'P 1'
_cell_length_a 5.266
_cell_length_b 5.266
_cell_length_c 6.795
_cell_angle_alpha 112.80
_cell_angle_beta 112.80
_cell_angle_gamma 90.00
loop_
_atom_site_label
_atom_site_type_symbol
_atom_site_fract_x
_atom_site_fract_y
_atom_site_fract_z
_atom_site_occupancy
Nd1 Nd 0.750 0.250 0.500 1
In1 In 0.000 0.000 0.000 1
Sb1 Sb 0.500 0.500 0.000 1
Sb2 Sb 0.250 0.750 0.500 1
O1 O 0.778 0.840 0.169 1
O2 O 0.392 0.330 0.169 1
O3 O 0.591 0.661 0.683 1
O4 O 0.092 0.021 0.683 1
O5 O 0.979 0.409 0.317 1
O6 O 0.339 0.908 0.317 1
O7 O 0.160 0.608 0.831 1
O8 O 0.670 0.222 0.831 1